w:
# DyB4Ir4, optimized geometry, DFT GGA-PBE
# Symmetry = No. 137
# Calculated density = 14.819 Mg/m³
data_DyB4Ir4
_chemical_formula_sum 'Dy2 B8 Ir8'
_cell_length_a 5.405
_cell_length_b 5.405
_cell_length_c 7.478
_cell_angle_alpha 90.00
_cell_angle_beta 90.00
_cell_angle_gamma 90.00
_space_group_name_H-M_alt 'P 1'
_space_group_IT_number 1
loop_
_space_group_symop_operation_xyz
'x,y,z'
loop_
_atom_site_label
_atom_site_fract_x
_atom_site_fract_y
_atom_site_fract_z
B1 0.000 0.328 0.654
B2 0.172 0.500 0.154
B3 0.828 0.500 0.154
B4 0.672 0.000 0.346
B5 0.500 0.828 0.846
B6 0.000 0.672 0.654
B7 0.500 0.172 0.846
B8 0.328 0.000 0.346
Dy1 0.000 0.000 0.000
Dy2 0.500 0.500 0.500
Ir1 0.500 0.251 0.144
Ir2 0.751 0.000 0.644
Ir3 0.500 0.749 0.144
Ir4 0.749 0.500 0.856
Ir5 0.251 0.500 0.856
Ir6 0.000 0.249 0.356
Ir7 0.249 0.000 0.644
Ir8 0.000 0.751 0.356

=====

x:
# DyB4Ir4, optimized geometry, DFT GGA-PBE
# Symmetry = No. 86
# Calculated density = 13.892 Mg/m³
data_DyB4Ir4
_chemical_formula_sum 'Dy2 B8 Ir8'
_cell_length_a 3.992
_cell_length_b 7.640
_cell_length_c 7.640
_cell_angle_alpha 90.00
_cell_angle_beta 90.00
_cell_angle_gamma 90.00
_space_group_name_H-M_alt 'P 1'
_space_group_IT_number 1
loop_
_space_group_symop_operation_xyz
'x,y,z'
loop_
_atom_site_label
_atom_site_fract_x
_atom_site_fract_y
_atom_site_fract_z
Ir1 0.113 0.840 0.391
Ir2 0.887 0.391 0.160
Ir3 0.613 0.109 0.340
Ir4 0.387 0.660 0.109
Ir5 0.387 0.340 0.891
Ir6 0.613 0.891 0.660
Ir7 0.113 0.160 0.609
Ir8 0.887 0.609 0.840
B1 0.612 0.157 0.722
B2 0.112 0.778 0.657
B3 0.388 0.278 0.157
B4 0.612 0.843 0.278
B5 0.112 0.222 0.343
B6 0.888 0.657 0.222
B7 0.888 0.343 0.778
B8 0.388 0.722 0.843
Dy1 0.000 0.000 0.000
Dy2 0.500 0.500 0.500

=====

Ordering by calculated energy gives the sequence x, w, with the first entry being the most stable.

=====

w:
# DyBIr, optimized geometry, DFT GGA-PBE
# Symmetry = No. 187
# Calculated density = 12.136 Mg/m³
data_DyBIr
_chemical_formula_sum 'Dy1 B1 Ir1'
_cell_length_a 4.235
_cell_length_b 3.693
_cell_length_c 3.693
_cell_angle_alpha 120.00
_cell_angle_beta 90.00
_cell_angle_gamma 90.00
_space_group_name_H-M_alt 'P 1'
_space_group_IT_number 1
loop_
_space_group_symop_operation_xyz
'x,y,z'
loop_
_atom_site_label
_atom_site_fract_x
_atom_site_fract_y
_atom_site_fract_z
Dy1 0.667 0.333 0.667
B1 0.167 0.667 0.333
Ir1 0.167 0.000 0.000

=====

x:
# DyBIr, optimized geometry, DFT GGA-PBE
# Symmetry = No. 123
# Calculated density = 11.355 Mg/m³
data_DyBIr
_chemical_formula_sum 'Dy2 B2 Ir2'
_cell_length_a 5.181
_cell_length_b 5.181
_cell_length_c 3.982
_cell_angle_alpha 90.00
_cell_angle_beta 90.00
_cell_angle_gamma 90.00
_space_group_name_H-M_alt 'P 1'
_space_group_IT_number 1
loop_
_space_group_symop_operation_xyz
'x,y,z'
loop_
_atom_site_label
_atom_site_fract_x
_atom_site_fract_y
_atom_site_fract_z
B1 0.000 0.500 0.000
B2 0.500 0.000 0.000
Ir1 0.000 0.500 0.500
Ir2 0.500 0.000 0.500
Dy1 0.500 0.500 0.000
Dy2 0.000 0.000 0.000

=====

y:
# DyBIr, optimized geometry, DFT GGA-PBE
# Symmetry = No. 107
# Calculated density = 13.528 Mg/m³
data_DyBIr
_chemical_formula_sum 'Dy1 B1 Ir1'
_cell_length_a 2.943
_cell_length_b 2.943
_cell_length_c 5.584
_cell_angle_alpha 105.28
_cell_angle_beta 105.28
_cell_angle_gamma 90.00
_space_group_name_H-M_alt 'P 1'
_space_group_IT_number 1
loop_
_space_group_symop_operation_xyz
'x,y,z'
loop_
_atom_site_label
_atom_site_fract_x
_atom_site_fract_y
_atom_site_fract_z
Dy1 0.010 0.010 0.020
B1 0.701 0.701 0.402
Ir1 0.289 0.289 0.577

=====

Ordering by calculated energy gives the sequence w, x, y, with the first entry being the most stable.

=====

w:
# DyB3Ir3, optimized geometry, DFT GGA-PBE
# Symmetry = No. 198
# Calculated density = 12.303 Mg/m³
data_DyB3Ir3
_chemical_formula_sum 'Dy4 B12 Ir12'
_cell_length_a 7.468
_cell_length_b 7.468
_cell_length_c 7.468
_cell_angle_alpha 90.00
_cell_angle_beta 90.00
_cell_angle_gamma 90.00
_space_group_name_H-M_alt 'P 1'
_space_group_IT_number 1
loop_
_space_group_symop_operation_xyz
'x,y,z'
loop_
_atom_site_label
_atom_site_fract_x
_atom_site_fract_y
_atom_site_fract_z
B1 0.807 0.316 0.492
B2 0.816 0.008 0.193
B3 0.184 0.508 0.307
B4 0.307 0.184 0.508
B5 0.684 0.992 0.693
B6 0.008 0.193 0.816
B7 0.992 0.693 0.684
B8 0.492 0.807 0.316
B9 0.693 0.684 0.992
B10 0.508 0.307 0.184
B11 0.193 0.816 0.008
B12 0.316 0.492 0.807
Ir1 0.755 0.245 0.745
Ir2 0.230 0.770 0.270
Ir3 0.450 0.950 0.550
Ir4 0.550 0.450 0.950
Ir5 0.245 0.745 0.755
Ir6 0.950 0.550 0.450
Ir7 0.050 0.050 0.050
Ir8 0.745 0.755 0.245
Ir9 0.255 0.255 0.255
Ir10 0.730 0.730 0.730
Ir11 0.770 0.270 0.230
Ir12 0.270 0.230 0.770
Dy1 0.501 0.999 0.001
Dy2 0.999 0.001 0.501
Dy3 0.499 0.499 0.499
Dy4 0.001 0.501 0.999

=====

x:
# DyB3Ir3, optimized geometry, DFT GGA-PBE
# Symmetry = No. 223
# Calculated density = 12.634 Mg/m³
data_DyB3Ir3
_chemical_formula_sum 'Dy2 B6 Ir6'
_cell_length_a 5.875
_cell_length_b 5.875
_cell_length_c 5.875
_cell_angle_alpha 90.00
_cell_angle_beta 90.00
_cell_angle_gamma 90.00
_space_group_name_H-M_alt 'P 1'
_space_group_IT_number 1
loop_
_space_group_symop_operation_xyz
'x,y,z'
loop_
_atom_site_label
_atom_site_fract_x
_atom_site_fract_y
_atom_site_fract_z
Ir1 0.000 0.750 0.500
Ir2 0.500 0.000 0.750
Ir3 0.500 0.000 0.250
Ir4 0.750 0.500 0.000
Ir5 0.000 0.250 0.500
Ir6 0.250 0.500 0.000
B1 0.000 0.500 0.250
B2 0.250 0.000 0.500
B3 0.500 0.750 0.000
B4 0.500 0.250 0.000
B5 0.000 0.500 0.750
B6 0.750 0.000 0.500
Dy1 0.500 0.500 0.500
Dy2 0.000 0.000 0.000

=====

Ordering by calculated energy gives the sequence x, w, with the first entry being the most stable.